Entry 1:
DFT (PBE-GGA) results for a relaxed Zr2Sc3Sb3 crystal. Values from VASP.

symmetry: P6_3/mcm, No. 193
volume: 23.0 A^3/atom
uncorrected formation energy: -0.820 eV per atom

Quantum ESPRESSO input file:
```
&SYSTEM
  ibrav = 0, nat = 16, ntyp = 3
/
ATOMIC_SPECIES
Sc 44.96 Sc.upf
Sb 121.76 Sb.upf
Zr 91.22 Zr.upf
ATOMIC_POSITIONS crystal
Sc 0.250 0.254 0.254
Sb 0.750 0.000 0.616
Sb 0.250 0.616 0.616
Zr 0.500 0.333 0.667
Zr 0.500 0.667 0.333
Zr 0.000 0.667 0.333
Sc 0.250 0.746 0.000
Sb 0.750 0.616 0.000
Sb 0.250 0.384 0.000
Sb 0.250 0.000 0.384
Sc 0.250 0.000 0.746
Sb 0.750 0.384 0.384
Sc 0.750 0.254 0.000
Sc 0.750 0.746 0.746
Sc 0.750 0.000 0.254
Zr 0.000 0.333 0.667
CELL_PARAMETERS angstrom
-2.469 -3.875 3.639
7.054 -4.755 -0.278
-0.811 6.069 5.913
```


Entry 2:
DFT (PBE-GGA) results for a relaxed NdEr8Cd2 crystal. Values from VASP.

symmetry: C2/m, No. 12
volume: 30.1 A^3/atom

Quantum ESPRESSO input file:
```
&SYSTEM
  ibrav = 0, nat = 11, ntyp = 3
/
ATOMIC_SPECIES
Cd 112.41 Cd.upf
Er 167.26 Er.upf
Nd 144.24 Nd.upf
ATOMIC_POSITIONS crystal
Cd 0.697 0.755 0.755
Er 0.417 0.837 0.361
Er 0.825 0.213 0.213
Er 0.175 0.787 0.787
Er 0.104 0.415 0.415
Nd 0.000 0.000 0.000
Er 0.583 0.639 0.163
Er 0.896 0.585 0.585
Er 0.583 0.163 0.639
Cd 0.303 0.245 0.245
Er 0.417 0.361 0.837
CELL_PARAMETERS angstrom
0.167 6.368 1.441
-8.314 -1.401 0.494
-5.090 -2.765 6.146
```


Entry 3:
DFT (PBE-GGA) results for a relaxed Pr4YTh3P8 crystal. Values from VASP.

symmetry: R-3m, No. 166
volume: 25.4 A^3/atom

Quantum ESPRESSO input file:
```
&SYSTEM
  ibrav = 0, nat = 16, ntyp = 4
/
ATOMIC_SPECIES
Y 88.91 Y.upf
Th 232.04 Th.upf
P 30.97 P.upf
Pr 140.91 Pr.upf
ATOMIC_POSITIONS crystal
Y 0.000 0.500 0.000
Th 0.000 0.500 0.500
P 0.246 0.741 0.995
Th 0.500 0.500 0.500
Pr 0.000 0.000 0.500
P 0.749 0.741 0.995
P 0.252 0.257 0.504
Pr 0.500 0.000 0.000
P 0.246 0.741 0.492
Pr 0.500 0.000 0.500
P 0.754 0.259 0.005
P 0.748 0.743 0.496
Th 0.500 0.500 0.000
P 0.754 0.259 0.508
P 0.251 0.259 0.005
Pr 0.000 0.000 0.000
CELL_PARAMETERS angstrom
-7.798 -1.402 2.516
2.874 -3.164 7.143
2.291 7.628 -2.381
```


Entry 4:
DFT (PBE-GGA) results for a relaxed TbThSc3 crystal. Values from VASP.

symmetry: Cmmm, No. 65
volume: 29.3 A^3/atom

Quantum ESPRESSO input file:
```
&SYSTEM
  ibrav = 0, nat = 10, ntyp = 3
/
ATOMIC_SPECIES
Th 232.04 Th.upf
Sc 44.96 Sc.upf
Tb 158.93 Tb.upf
ATOMIC_POSITIONS crystal
Th 0.144 0.713 0.000
Sc 0.081 0.339 0.249
Tb 0.641 0.717 0.500
Sc 0.755 0.000 0.244
Sc 0.245 0.000 0.756
Th 0.856 0.287 0.000
Tb 0.359 0.283 0.500
Sc 0.919 0.661 0.751
Sc 0.420 0.661 0.249
Sc 0.580 0.339 0.751
CELL_PARAMETERS angstrom
-2.237 -0.898 2.421
4.376 0.464 6.626
-5.179 9.665 3.625
```


Entry 5:
DFT (PBE-GGA) results for a relaxed RbTe2Pb2 crystal. Values from VASP.

symmetry: I4/mmm, No. 139
volume: 38.7 A^3/atom
uncorrected formation energy: -0.386 eV per atom

Quantum ESPRESSO input file:
```
&SYSTEM
  ibrav = 0, nat = 5, ntyp = 3
/
ATOMIC_SPECIES
Te 127.60 Te.upf
Rb 85.47 Rb.upf
Pb 207.20 Pb.upf
ATOMIC_POSITIONS crystal
Te 0.395 0.395 0.211
Rb 0.000 0.000 0.000
Te 0.605 0.605 0.789
Pb 0.750 0.250 0.500
Pb 0.250 0.750 0.500
CELL_PARAMETERS angstrom
4.877 0.000 0.000
0.000 4.877 0.000
2.439 2.439 8.139
```


Entry 6:
DFT (PBE-GGA) results for a relaxed BeIrAuO crystal. Values from VASP.

symmetry: Cm, No. 8
volume: 14.4 A^3/atom
uncorrected formation energy: -0.882 eV per atom

Quantum ESPRESSO input file:
```
&SYSTEM
  ibrav = 0, nat = 8, ntyp = 4
/
ATOMIC_SPECIES
O 16.00 O.upf
Au 196.97 Au.upf
Ir 192.22 Ir.upf
Be 9.01 Be.upf
ATOMIC_POSITIONS crystal
O 0.956 0.000 0.375
Au 0.581 0.500 0.741
O 0.956 0.500 0.875
Ir 0.307 0.500 0.986
Be 0.958 0.500 0.210
Be 0.958 0.000 0.710
Ir 0.307 0.000 0.486
Au 0.581 0.000 0.241
CELL_PARAMETERS angstrom
-2.757 -6.183 6.268
1.905 0.883 1.709
-2.751 3.596 1.208
```


Entry 7:
DFT (PBE-GGA) results for a relaxed TbHfMg crystal. Values from VASP.

symmetry: P2_1/m, No. 11
volume: 25.2 A^3/atom

Quantum ESPRESSO input file:
```
&SYSTEM
  ibrav = 0, nat = 6, ntyp = 3
/
ATOMIC_SPECIES
Tb 158.93 Tb.upf
Hf 178.49 Hf.upf
Mg 24.30 Mg.upf
ATOMIC_POSITIONS crystal
Tb 0.750 0.358 0.607
Hf 0.250 0.020 0.770
Mg 0.250 0.324 0.074
Tb 0.250 0.642 0.393
Hf 0.750 0.980 0.230
Mg 0.750 0.676 0.926
CELL_PARAMETERS angstrom
3.279 -0.074 0.385
0.111 3.287 -0.315
-1.687 -1.910 13.995
```


Entry 8:
DFT (PBE-GGA) results for a relaxed TbNd6Dy3Ho2 crystal. Values from VASP.

symmetry: C2/m, No. 12
volume: 33.1 A^3/atom

Quantum ESPRESSO input file:
```
&SYSTEM
  ibrav = 0, nat = 12, ntyp = 4
/
ATOMIC_SPECIES
Nd 144.24 Nd.upf
Ho 164.93 Ho.upf
Tb 158.93 Tb.upf
Dy 162.50 Dy.upf
ATOMIC_POSITIONS crystal
Nd 0.583 0.916 0.750
Nd 0.750 0.750 0.250
Ho 0.667 0.333 0.000
Tb 0.000 0.000 0.000
Dy 0.167 0.833 0.500
Nd 0.250 0.250 0.750
Ho 0.333 0.667 0.000
Dy 0.500 0.500 0.500
Nd 0.916 0.583 0.750
Nd 0.084 0.417 0.250
Nd 0.417 0.084 0.250
Dy 0.833 0.167 0.500
CELL_PARAMETERS angstrom
6.270 0.000 0.010
-3.134 5.431 0.010
-1.060 -1.835 11.664
```


Number 1: E_tot -6.88 eV/atom. Number 2: E_tot -3.88 eV/atom. Number 3: E_tot -7.26 eV/atom. Number 4: E_tot -5.93 eV/atom. Number 5: E_tot -3.32 eV/atom. Number 6: E_tot -6.09 eV/atom. Number 7: E_tot -5.31 eV/atom. Number 8: E_tot -4.67 eV/atom.